Here is Na2US4 after structural relaxation from Alexandria. Energies are from PBE-GGA.

Unit cell a=7.2163 b=7.2163 c=7.2163 alpha=110.92 beta=110.92 gamma=106.62
With the nearest neighbours (Å) after each atom.
Sites, in units of the cell vectors:
1 Na 0.3750 0.0253 0.1503  6 S 2.70-2.97
2 Na 0.7753 0.6250 0.6503  6 S 2.70-2.97
3 Na 0.8750 0.2247 0.8497  6 S 2.70-2.97
4 Na 0.9747 0.1250 0.3497  6 S 2.70-2.97
5 U 0.2500 0.7500 0.5000  4 S 2.58
6 U 0.5000 0.5000 0.0000  4 S 2.58
7 S 0.1537 0.5150 0.7465  1 U 2.58, 1 Na 2.70
8 S 0.1571 0.0184 0.7535  1 U 2.58, 1 Na 2.70
9 S 0.2650 0.4037 0.2465  1 U 2.58, 1 Na 2.70
10 S 0.4850 0.2316 0.6387  1 U 2.58, 1 Na 2.70
11 S 0.5929 0.8463 0.3613  1 U 2.58, 1 Na 2.70
12 S 0.5963 0.8429 0.8613  1 U 2.58, 1 Na 2.70
13 S 0.7684 0.4071 0.2535  1 U 2.58, 1 Na 2.70
14 S 0.9816 0.7350 0.1387  1 U 2.58, 1 Na 2.70

Uncorrected formation energy ... -105 kJ per mole of atoms
E above lowest polymorph ... 0.1055 eV/atom
Total moment ... 0.0 Bohr magnetons per cell